# Be2FeSi | Alexandria | PBE | relaxed
# Uncorrected formation energy (meV per atom): -19.8
# Raw total energy (eV/cell): -42.835
# DOS at the Fermi energy (states/eV per atom): 0.47
# Crystal system: monoclinic
data_Be2FeSi
_chemical_formula_sum 'Be4 Fe2 Si2'
_symmetry_space_group_name_H-M 'C 1 2/m 1'
_symmetry_Int_Tables_number 12
_cell_length_a 4.746
_cell_length_b 7.943
_cell_length_c 2.455
_cell_angle_alpha 90.00
_cell_angle_beta 120.06
_cell_angle_gamma 90.00
loop_
_symmetry_equiv_pos_as_xyz
'x,y,z'
'-x,-y,-z'
'-x,y,-z'
'x,-y,z'
'x+1/2,y+1/2,z'
'-x+1/2,-y+1/2,-z'
'-x+1/2,y+1/2,-z'
'x+1/2,-y+1/2,z'
loop_
_atom_site_label
_atom_site_fract_x
_atom_site_fract_y
_atom_site_fract_z
_atom_site_occupancy
Be1 0.250 0.250 0.000 1
Fe1 0.000 0.000 0.500 1
Si1 0.000 0.500 0.500 1